Compound: NaNdErAl
Source: Alexandria
Functional: GGA-PBE
Structure: relaxed

Properties
V in Å³/atom: 26.981
Energy of formation in kJ per mole of atoms: -3.7

POSCAR file:
```
NaNdErAl
1.0
-4.031 0.226 3.501
-0.398 -3.677 3.858
0.948 1.348 5.084
Na Nd Al Er
1 1 1 1
Direct
0.250 0.250 0.250
0.500 0.500 0.500
0.750 0.750 0.750
0.000 0.000 0.000
```